TlGeCl3 after structural relaxation, computed with PBE.

Cell: 4.6366 6.0576 6.7502 Å, 73.05 73.28 76.78°
With the nearest neighbours (Å) after each atom.
Space group P1 (No. 1)
One atom of each set of equivalent atoms:
Tl 0.0000 0.0000 0.0000 [1 per cell]  6 Cl 3.17-3.38
Ge 0.7070 0.5989 0.6137 [1 per cell]  3 Cl 2.37-2.39
Cl 0.2718 0.5047 0.8963 [1 per cell]  1 Ge 2.39
Cl 0.4657 0.7104 0.3259 [1 per cell]  1 Ge 2.37
Cl 0.6536 0.9869 0.6467 [1 per cell]  1 Ge 2.38

## Properties
**Total energy**: -3.386 eV per atom
**Energy relative to the elements, uncorrected**: -4.40 eV per formula unit
**Spin magnetization**: 0.00 μB/atom